i.
A plane-wave DFT calculation with GGA-PBE was carried out for a geometry-optimized BaRu2O6 structure.

## Properties
total magnetic moment: 0.00 μB/f.u.
DOS at the Fermi energy: 5.32 states/eV/cell

Lattice parameters (Å, degrees): 5.3693 5.3693 5.5512 90.00 90.00 120.00
Space group P-31m (No. 162)
One atom of each set of equivalent atoms:
Ba 0.0000 0.0000 0.0000 [1 per cell]
Ru 0.3333 0.6667 0.5000 [2 per cell]
O 0.0000 0.3913 0.6884 [6 per cell]

ii.
A plane-wave DFT calculation with GGA-PBE was carried out for a geometry-optimized BaRu2O6 structure.

## Properties
total magnetic moment: 1.22 μB/f.u.
DOS at the Fermi energy: 66.09 states/eV/cell

Lattice parameters (Å, degrees): 10.112 10.112 10.112 90.00 90.00 90.00
Space group Fd-3m (No. 227, origin choice 2)
One atom of each set of equivalent atoms:
Ba 0.125 0.125 0.125 [8 per cell]
Ru 0.000 0.000 0.500 [16 per cell]
O 0.074 0.375 0.875 [48 per cell]

The most stable of them is i.

i.
A plane-wave DFT calculation with GGA-PBE was carried out for a geometry-optimized BaRu2O2 structure.

## Properties
total magnetic moment: 0.00 μB/f.u.
DOS at the Fermi energy: 7.90 states/eV/cell

Lattice parameters (Å, degrees): 7.634 7.634 3.719 90.00 90.00 90.00
Space group P4/mbm (No. 127)
One atom of each set of equivalent atoms:
Ba 0.000 0.000 0.000 [2 per cell]
Ru 0.105 0.395 0.000 [4 per cell]
O 0.153 0.347 0.500 [4 per cell]

ii.
A plane-wave DFT calculation with GGA-PBE was carried out for a geometry-optimized BaRu2O2 structure.

## Properties
total magnetic moment: 0.00 μB/f.u.
DOS at the Fermi energy: 9.63 states/eV/cell

Lattice parameters (Å, degrees): 4.182 4.182 8.573 90.00 90.00 90.00
Space group I4/mmm (No. 139)
One atom of each set of equivalent atoms:
Ba 0.000 0.000 0.000 [2 per cell]
Ru 0.000 0.000 0.342 [4 per cell]
O 0.000 0.500 0.250 [4 per cell]

The most stable of them is i.